Below is a relaxed structure of CoPbF2, with properties calculated at the PBE+U level.

```
4
Lattice="1.650 0.953 7.847 -1.650 0.953 7.847 0.000 -1.905 7.847" Properties=species:S:1:pos:R:3 pbc="T T T"
Co 0.000 0.000 0.000
Pb 0.000 0.000 11.771
F 0.000 0.000 8.787
F 0.000 0.000 14.755
```

Output
- calculated total energy (eV/atom) = -4.578
- space-group type = R-3m (166)